[1]
Computed, not measured: Sm2Ni2Ge3 after structural relaxation at the PBE level of DFT.

The space group is Cmcm (No. 63) and the conventional cell measures 4.2233, 18.0320 and 6.8049 Å, with angles of 90.00, 90.00 and 90.00 degrees. The distinct sites, in fractional coordinates, are Sm at (0.0000, 0.0511, 0.2500), Sm at (0.0000, 0.1596, 0.7500), Ni at (0.0000, 0.3022, 0.5552), Ge at (0.0000, 0.2217, 0.2500) and Ge at (0.0000, 0.4332, 0.0608).

The formation energy comes out at -709 meV per atom. Its calculated volume is 130 Å³/f.u. For the density of states at the Fermi level, the calculation gives 0.502 states/eV per atom. Its uncorrected energy is -5.69 eV per atom.

[2]
Computed, not measured: Sm2NiGe6 after structural relaxation at the PBE level of DFT.

The space group is Amm2 (No. 38) and the conventional cell measures 4.1156, 4.0574 and 21.7035 Å, with angles of 90.00, 90.00 and 90.00 degrees. The distinct sites, in fractional coordinates, are Sm at (0.0000, 0.0000, 0.0000), Sm at (0.0000, 0.0000, 0.3347), Ni at (0.5000, 0.0000, 0.7766), Ge at (0.0000, 0.0000, 0.6058), Ge at (0.0000, 0.0000, 0.7210), Ge at (0.5000, 0.0000, 0.1049), Ge at (0.5000, 0.0000, 0.2206), Ge at (0.5000, 0.0000, 0.4564) and Ge at (0.5000, 0.0000, 0.8839).

The formation energy comes out at -536 meV per atom. Its calculated volume is 181 Å³/f.u. For the density of states at the Fermi level, the calculation gives 0.283 states/eV per atom. Its uncorrected energy is -5.31 eV per atom.

[3]
Computed, not measured: Sm5Ni2Ge after structural relaxation at the PBE level of DFT.

The space group is I4/mcm (No. 140) and the conventional cell measures 7.7577, 7.7577 and 13.0886 Å, with angles of 90.00, 90.00 and 90.00 degrees. The distinct sites, in fractional coordinates, are Sm at (0.0000, 0.0000, 0.0000), Sm at (0.1615, 0.3385, 0.1415), Ni at (0.1248, 0.3752, 0.5000) and Ge at (0.0000, 0.0000, 0.2500).

The formation energy comes out at -405 meV per atom. Its calculated volume is 197 Å³/f.u. For the density of states at the Fermi level, the calculation gives 0.906 states/eV per atom. Its uncorrected energy is -5.38 eV per atom.

[4]
Computed, not measured: Sm3Ni6Ge5 after structural relaxation at the PBE level of DFT.

The space group is Pmmn (No. 59, origin choice 2) and the conventional cell measures 4.0278, 12.1964 and 9.5649 Å, with angles of 90.00, 90.00 and 90.00 degrees. The distinct sites, in fractional coordinates, are Sm at (0.2500, 0.0829, 0.2485), Sm at (0.2500, 0.7500, 0.2478), Ni at (0.2500, 0.0598, 0.5975), Ni at (0.2500, 0.2500, 0.5012), Ni at (0.2500, 0.2500, 0.9922), Ni at (0.2500, 0.5812, 0.0044), Ge at (0.2500, 0.0813, 0.8587), Ge at (0.2500, 0.6291, 0.5192) and Ge at (0.2500, 0.7500, 0.8724).

The formation energy comes out at -647 meV per atom. Its calculated volume is 235 Å³/f.u. For the density of states at the Fermi level, the calculation gives 0.771 states/eV per atom. Its uncorrected energy is -5.79 eV per atom.

Number 4 is which compound?
Sm3Ni6Ge5

Number 1 is which compound?
Sm2Ni2Ge3

What is the formula in the third record?
Sm5Ni2Ge